Entry 1:
# Zn3P2O8 | Alexandria via LeMat-Bulk | PBE | relaxed
# * offset from the most stable computed form: 0.245 eV per formula unit
# * formation energy without anion corrections: -1921 meV per atom
data_Zn3P2O8
_cell_length_a 5.0739
_cell_length_b 8.6130
_cell_length_c 8.7885
_cell_angle_alpha 90.00
_cell_angle_beta 119.24
_cell_angle_gamma 90.00
_space_group_name_H-M_alt 'P 1 21/c 1'
_space_group_IT_number 14
_space_group_name_Hall '-P 2ybc'
loop_
_atom_site_label
_atom_site_fract_x
_atom_site_fract_y
_atom_site_fract_z
Zn1 0.0000 0.0000 0.0000
Zn2 0.0474 0.1390 0.6182
P1 0.3302 0.6895 0.3012
O1 0.1775 0.6466 0.7470
O2 0.1881 0.5796 0.1393
O3 0.2699 0.6294 0.4465
O4 0.3244 0.1964 0.1310

---

Entry 2:
# NbCo2H | Alexandria via LeMat-Bulk | PBE | relaxed
# * offset from the most stable computed form: 1.681 eV per formula unit
data_NbCo2H
_cell_length_a 2.7197
_cell_length_b 2.7197
_cell_length_c 20.7277
_cell_angle_alpha 90.00
_cell_angle_beta 90.00
_cell_angle_gamma 120.00
_space_group_name_H-M_alt 'R -3 m'
_space_group_IT_number 166
_space_group_name_Hall '-R 3 2"'
loop_
_atom_site_label
_atom_site_fract_x
_atom_site_fract_y
_atom_site_fract_z
Nb1 0.0000 0.0000 0.0000
Co1 0.0000 0.0000 0.1178
H1 0.0000 0.0000 0.5000

---

Entry 3:
# PuTcSnPd | Alexandria via LeMat-Bulk | PBE | relaxed
# * formation enthalpy at 0 K: -0.2030 eV per atom
data_PuTcSnPd
_cell_length_a 6.7266
_cell_length_b 6.7266
_cell_length_c 6.7266
_cell_angle_alpha 90.00
_cell_angle_beta 90.00
_cell_angle_gamma 90.00
_space_group_name_H-M_alt 'F -4 3 m'
_space_group_IT_number 216
_space_group_name_Hall 'F -4 2 3'
loop_
_atom_site_label
_atom_site_fract_x
_atom_site_fract_y
_atom_site_fract_z
Pu1 0.0000 0.0000 0.0000
Tc1 0.2500 0.2500 0.2500
Sn1 0.0000 0.0000 0.5000
Pd1 0.2500 0.2500 0.7500

---

Entry 4:
# PuGeSe2 | Alexandria via LeMat-Bulk | PBE | relaxed
# * offset from the most stable computed form: 0.616 eV per formula unit
# * formation energy without anion corrections: -615 meV per atom
data_PuGeSe2
_cell_length_a 4.0559
_cell_length_b 4.0559
_cell_length_c 25.9816
_cell_angle_alpha 90.00
_cell_angle_beta 90.00
_cell_angle_gamma 120.00
_space_group_name_H-M_alt 'P 32 2 1'
_space_group_IT_number 154
_space_group_name_Hall 'P 32 2"'
loop_
_atom_site_label
_atom_site_fract_x
_atom_site_fract_y
_atom_site_fract_z
Pu1 0.0000 0.6693 0.3333
Ge1 0.0000 0.6753 0.8333
Se1 0.0026 0.6666 0.7289

---

Entry 5:
# Ac4TbIn5 | Alexandria via LeMat-Bulk | PBE | relaxed
# * formation enthalpy at 0 K: -0.4292 eV per atom
data_Ac4TbIn5
_cell_length_a 3.9869
_cell_length_b 3.9869
_cell_length_c 20.7740
_cell_angle_alpha 90.00
_cell_angle_beta 90.00
_cell_angle_gamma 90.00
_space_group_name_H-M_alt 'P 4/m m m'
_space_group_IT_number 123
_space_group_name_Hall '-P 4 2'
loop_
_atom_site_label
_atom_site_fract_x
_atom_site_fract_y
_atom_site_fract_z
Ac1 0.0000 0.0000 0.1048
Ac2 0.0000 0.0000 0.3122
Tb1 0.0000 0.0000 0.5000
In1 0.5000 0.5000 0.0000
In2 0.5000 0.5000 0.2092
In3 0.5000 0.5000 0.4182

---

Entry 6:
# PmMg2Pb | Alexandria via LeMat-Bulk | PBE | relaxed
# * formation enthalpy at 0 K: -0.3341 eV per atom
# * offset from the most stable computed form: 0.000 eV per formula unit
data_PmMg2Pb
_cell_length_a 4.6342
_cell_length_b 4.6342
_cell_length_c 4.8687
_cell_angle_alpha 90.00
_cell_angle_beta 90.00
_cell_angle_gamma 90.00
_space_group_name_H-M_alt 'P 4/m m m'
_space_group_IT_number 123
_space_group_name_Hall '-P 4 2'
loop_
_atom_site_label
_atom_site_fract_x
_atom_site_fract_y
_atom_site_fract_z
Pm1 0.0000 0.0000 0.0000
Mg1 0.0000 0.5000 0.5000
Pb1 0.5000 0.5000 0.0000

---

Entry 7:
# RbCdSnB2 | Alexandria via LeMat-Bulk | PBE | relaxed
# * formation enthalpy at 0 K: 1.4948 eV per atom
data_RbCdSnB2
_cell_length_a 4.6776
_cell_length_b 4.6776
_cell_length_c 6.8675
_cell_angle_alpha 90.00
_cell_angle_beta 90.00
_cell_angle_gamma 90.00
_space_group_name_H-M_alt 'P 4/m m m'
_space_group_IT_number 123
_space_group_name_Hall '-P 4 2'
loop_
_atom_site_label
_atom_site_fract_x
_atom_site_fract_y
_atom_site_fract_z
Rb1 0.0000 0.0000 0.0000
Cd1 0.5000 0.5000 0.0000
Sn1 0.0000 0.0000 0.5000
B1 0.0000 0.5000 0.5000

---

Entry 8:
# PmNdSeS | Alexandria via LeMat-Bulk | PBE | relaxed
# * formation energy without anion corrections: -1944 meV per atom
data_PmNdSeS
_cell_length_a 4.1252
_cell_length_b 4.1252
_cell_length_c 20.3760
_cell_angle_alpha 90.00
_cell_angle_beta 90.00
_cell_angle_gamma 120.00
_space_group_name_H-M_alt 'R 3 m'
_space_group_IT_number 160
_space_group_name_Hall 'R 3 -2"'
loop_
_atom_site_label
_atom_site_fract_x
_atom_site_fract_y
_atom_site_fract_z
Pm1 0.0000 0.0000 0.0000
Nd1 0.0000 0.0000 0.5158
Se1 0.0000 0.0000 0.7570
S1 0.0000 0.0000 0.2590

---

Entry 9:
# Np3Tl4FeSe8 | Alexandria via LeMat-Bulk | PBE | relaxed
# * formation energy without anion corrections: -712 meV per atom
data_Np3Tl4FeSe8
_cell_length_a 8.2598
_cell_length_b 8.2598
_cell_length_c 23.2669
_cell_angle_alpha 90.00
_cell_angle_beta 90.00
_cell_angle_gamma 120.00
_space_group_name_H-M_alt 'R -3 m'
_space_group_IT_number 166
_space_group_name_Hall '-R 3 2"'
loop_
_atom_site_label
_atom_site_fract_x
_atom_site_fract_y
_atom_site_fract_z
Np1 0.0000 0.5000 0.0000
Tl1 0.0000 0.0000 0.5000
Tl2 0.0000 0.5000 0.5000
Fe1 0.0000 0.0000 0.0000
Se1 0.0000 0.0000 0.2648
Se2 0.0151 0.5075 0.7317

---

Entry 10:
# ErMgTlPb | Alexandria via LeMat-Bulk | PBE | relaxed
# * formation enthalpy at 0 K: -0.1653 eV per atom
# * offset from the most stable computed form: 0.452 eV per formula unit
data_ErMgTlPb
_cell_length_a 7.5197
_cell_length_b 7.5197
_cell_length_c 7.5197
_cell_angle_alpha 90.00
_cell_angle_beta 90.00
_cell_angle_gamma 90.00
_space_group_name_H-M_alt 'F -4 3 m'
_space_group_IT_number 216
_space_group_name_Hall 'F -4 2 3'
loop_
_atom_site_label
_atom_site_fract_x
_atom_site_fract_y
_atom_site_fract_z
Er1 0.0000 0.0000 0.0000
Mg1 0.0000 0.0000 0.5000
Tl1 0.2500 0.2500 0.7500
Pb1 0.2500 0.2500 0.2500

---

Entry 11:
# Pb2CO4 | Alexandria via LeMat-Bulk | PBE | relaxed
# * formation energy without anion corrections: -1182 meV per atom
data_Pb2CO4
_cell_length_a 6.1652
_cell_length_b 5.0573
_cell_length_c 7.7368
_cell_angle_alpha 90.00
_cell_angle_beta 109.91
_cell_angle_gamma 90.00
_space_group_name_H-M_alt 'P 1 21/m 1'
_space_group_IT_number 11
_space_group_name_Hall '-P 2yb'
loop_
_atom_site_label
_atom_site_fract_x
_atom_site_fract_y
_atom_site_fract_z
Pb1 0.2230 0.2500 0.4631
Pb2 0.2600 0.7500 0.9946
C1 0.0175 0.2500 0.7682
O1 0.1032 0.2500 0.9646
O2 0.1054 0.0234 0.7050
O3 0.2222 0.7500 0.3003

---

Entry 12:
# AlSi2Ni5 | Alexandria via LeMat-Bulk | PBE | relaxed
# * offset from the most stable computed form: 0.212 eV per formula unit
# * formation energy without anion corrections: -474 meV per atom
data_AlSi2Ni5
_cell_length_a 3.8092
_cell_length_b 3.8092
_cell_length_c 12.4673
_cell_angle_alpha 90.00
_cell_angle_beta 90.00
_cell_angle_gamma 90.00
_space_group_name_H-M_alt 'I 4/m m m'
_space_group_IT_number 139
_space_group_name_Hall '-I 4 2'
loop_
_atom_site_label
_atom_site_fract_x
_atom_site_fract_y
_atom_site_fract_z
Al1 0.0000 0.0000 0.0000
Si1 0.0000 0.0000 0.2553
Ni1 0.0000 0.0000 0.5000
Ni2 0.0000 0.5000 0.1394

---

The records above yield uncorrected energy values of -6.0981, -6.5171, -8.6764, -7.0945, -3.9048, -3.2462, -2.3533, -6.2269, -6.0011, -3.2233, -6.3923, -5.9114 eV per atom, respectively.
The records above yield DOS(E_F) values of 0.0, 3.8, 5.3, 9.3, 7.5, 1.2, 3.2, 1.3, 37.1, 3.0, 0.0, 3.9 states/eV/f.u., respectively.